No. 1
## La2PbSe (PBEsol)

Data for a geometry-optimized La2PbSe structure.

space-group type	R-3m (166)
energy relative to the elements, uncorrected	-1.2689	eV per atom
raw total energy	-5.90	eV/atom
M_tot	0.00	μB/f.u.
distance to the lowest polymorph of the same formula	0.98	kJ/mol of atoms

a = 7.6837 Å, b = 7.6837 Å, c = 7.6837 Å
α = 33.64°, β = 33.64°, γ = 33.64°
Last column: nearest neighbours and their distance in Å.
Positions (direct):
1 La 0.2452 0.2452 0.2452  3 Se 3.08, 3 Pb 3.20
2 La 0.7548 0.7548 0.7548  3 Se 3.08, 3 Pb 3.20
3 Pb 0.0000 0.0000 0.0000  6 La 3.20
4 Se 0.5000 0.5000 0.5000  6 La 3.08

No. 2
## LaPb2Se (PBEsol)

Data for a geometry-optimized LaPb2Se structure.

space-group type	Cm (8)
energy relative to the elements, uncorrected	-0.6744	eV per atom
raw total energy	-4.97	eV/atom
M_tot	0.00	μB/f.u.

a = 4.4874 Å, b = 4.4874 Å, c = 8.1400 Å
α = 104.93°, β = 104.93°, γ = 55.54°
Last column: nearest neighbours and their distance in Å.
Positions (direct):
1 La 0.0000 0.0000 0.0000  3 Se 2.92-2.94
2 Pb 0.5189 0.5189 0.5051  3 Pb 3.06-3.11, 2 Se 3.41
3 Pb 0.7656 0.7656 0.2782  3 Pb 3.06-3.11, 3 La 3.32-3.34
4 Se 0.2651 0.2651 0.8130  3 La 2.92-2.94

No. 3
## LaPb2Se (PBEsol)

Data for a geometry-optimized LaPb2Se structure.

space-group type	Imm2 (44)
energy relative to the elements, uncorrected	-0.5988	eV per atom
raw total energy	-4.90	eV/atom
M_tot	0.00	μB/f.u.

a = 6.4106 Å, b = 6.4106 Å, c = 6.4106 Å
α = 145.73°, β = 130.09°, γ = 61.94°
Last column: nearest neighbours and their distance in Å.
Positions (direct):
1 La 0.0000 0.0000 0.0000  2 Se 2.97
2 Pb 0.4569 0.4569 0.0000  2 Se 3.32, 4 La 3.33, 2 Pb 3.49
3 Pb 0.7237 0.2237 0.5000  4 Se 3.30, 2 Pb 3.49, 4 La 3.58-3.66
4 Se 0.2086 0.7086 0.5000  2 La 2.97, 6 Pb 3.30-3.32

No. 4
## La2PbSe (PBEsol)

Data for a geometry-optimized La2PbSe structure.

space-group type	F-43m (216)
energy relative to the elements, uncorrected	-0.4620	eV per atom
raw total energy	-5.10	eV/atom
M_tot	0.00	μB/f.u.
distance to the lowest polymorph of the same formula	78.84	kJ/mol of atoms

a = 5.3458 Å, b = 5.3458 Å, c = 5.3458 Å
α = 60.00°, β = 60.00°, γ = 60.00°
Last column: nearest neighbours and their distance in Å.
Positions (direct):
1 La 0.0000 0.0000 0.0000  4 Pb 3.27, 4 La 3.27
2 La 0.2500 0.2500 0.2500  4 La 3.27, 4 Se 3.27
3 Pb 0.7500 0.7500 0.7500  4 Se 3.27, 4 La 3.27
4 Se 0.5000 0.5000 0.5000  4 Pb 3.27, 4 La 3.27

No. 5
## La2PbSe (PBEsol)

Data for a geometry-optimized La2PbSe structure.

space-group type	P4/mmm (123)
energy relative to the elements, uncorrected	-1.2791	eV per atom
raw total energy	-5.91	eV/atom
M_tot	0.00	μB/f.u.
distance to the lowest polymorph of the same formula	0.00	kJ/mol of atoms

a = 4.4522 Å, b = 4.4522 Å, c = 6.2958 Å
α = 90.00°, β = 90.00°, γ = 90.00°
Last column: nearest neighbours and their distance in Å.
Positions (direct):
1 La 0.0000 0.0000 0.0000  2 Pb 3.15, 4 Se 3.15
2 La 0.5000 0.5000 0.5000  2 Se 3.15, 4 Pb 3.15
3 Pb 0.0000 0.0000 0.5000  6 La 3.15
4 Se 0.5000 0.5000 0.0000  6 La 3.15

No. 6
## La5Pb3Se (PBEsol)

Data for a geometry-optimized La5Pb3Se structure.

space-group type	P6_3/mcm (193)
energy relative to the elements, uncorrected	-0.9773	eV per atom
raw total energy	-5.71	eV/atom
M_tot	0.00	μB/f.u.

a = 9.6142 Å, b = 9.6142 Å, c = 7.0098 Å
α = 90.00°, β = 90.00°, γ = 120.00°
Last column: nearest neighbours and their distance in Å.
Positions (direct):
1 La 0.0000 0.2504 0.2500  2 Se 2.98, 2 Pb 3.32
2 La 0.0000 0.7496 0.7500  2 Se 2.98, 2 Pb 3.32
3 La 0.2504 0.0000 0.2500  2 Se 2.98, 2 Pb 3.32
4 La 0.2504 0.2504 0.7500  2 Se 2.98, 2 Pb 3.32
5 La 0.3333 0.6667 0.0000  6 Pb 3.44, 2 La 3.50
6 La 0.3333 0.6667 0.5000  6 Pb 3.44, 2 La 3.50
7 La 0.6667 0.3333 0.0000  6 Pb 3.44, 2 La 3.50
8 La 0.6667 0.3333 0.5000  6 Pb 3.44, 2 La 3.50
9 La 0.7496 0.0000 0.7500  2 Se 2.98, 2 Pb 3.32
10 La 0.7496 0.7496 0.2500  2 Se 2.98, 2 Pb 3.32
11 Pb 0.0000 0.3935 0.7500  7 La 3.32-3.44
12 Pb 0.0000 0.6065 0.2500  7 La 3.32-3.44
13 Pb 0.3935 0.0000 0.7500  7 La 3.32-3.44
14 Pb 0.3935 0.3935 0.2500  7 La 3.32-3.44
15 Pb 0.6065 0.0000 0.2500  7 La 3.32-3.44
16 Pb 0.6065 0.6065 0.7500  7 La 3.32-3.44
17 Se 0.0000 0.0000 0.0000  6 La 2.98
18 Se 0.0000 0.0000 0.5000  6 La 2.98

No. 7
## La2PbSe4 (PBEsol)

Data for a geometry-optimized La2PbSe4 structure.

space-group type	I-42d (122)
energy relative to the elements, uncorrected	-1.6077	eV per atom
raw total energy	-5.91	eV/atom
M_tot	0.00	μB/f.u.

a = 7.7979 Å, b = 7.7979 Å, c = 7.7979 Å
α = 109.39°, β = 109.39°, γ = 109.63°
Last column: nearest neighbours and their distance in Å.
Positions (direct):
1 La 0.0089 0.1250 0.3839  8 Se 3.01-3.23
2 La 0.3750 0.9911 0.1161  8 Se 3.01-3.23
3 La 0.7411 0.6250 0.6161  8 Se 3.01-3.23
4 La 0.8750 0.2589 0.8839  8 Se 3.01-3.23
5 Pb 0.2500 0.7500 0.5000  8 Se 3.08-3.21
6 Pb 0.5000 0.5000 0.0000  8 Se 3.08-3.21
7 Se 0.1171 0.5221 0.7476  4 La 3.01-3.23, 2 Pb 3.08-3.21
8 Se 0.1195 0.0245 0.7524  4 La 3.01-3.23, 2 Pb 3.08-3.21
9 Se 0.2721 0.3671 0.2476  4 La 3.01-3.23, 2 Pb 3.08-3.21
10 Se 0.4779 0.2255 0.5950  4 La 3.01-3.23, 2 Pb 3.08-3.21
11 Se 0.6305 0.8829 0.4050  4 La 3.01-3.23, 2 Pb 3.08-3.21
12 Se 0.6329 0.8805 0.9050  4 La 3.01-3.23, 2 Pb 3.08-3.21
13 Se 0.7745 0.3695 0.2524  4 La 3.01-3.23, 2 Pb 3.08-3.21
14 Se 0.9755 0.7279 0.0950  4 La 3.01-3.23, 2 Pb 3.08-3.21

No. 8
## LaSi2Pb (PBEsol)

Data for a geometry-optimized LaSi2Pb structure.

space-group type	R-3m (166)
energy relative to the elements, uncorrected	-0.0751	eV per atom
raw total energy	-5.28	eV/atom
M_tot	0.00	μB/f.u.

a = 5.6610 Å, b = 5.6610 Å, c = 5.6610 Å
α = 49.72°, β = 49.72°, γ = 49.72°
Last column: nearest neighbours and their distance in Å.
Positions (direct):
1 La 0.0000 0.0000 0.0000  8 Si 3.16-3.28
2 Si 0.2127 0.2127 0.2127  3 Pb 2.83, 3 Si 3.07, 1 La 3.16
3 Si 0.7873 0.7873 0.7873  3 Pb 2.83, 3 Si 3.07, 1 La 3.16
4 Pb 0.5000 0.5000 0.5000  6 Si 2.83

No. 9
## LaSi2Pb (PBEsol)

Data for a geometry-optimized LaSi2Pb structure.

space-group type	I-4m2 (119)
energy relative to the elements, uncorrected	-0.1487	eV per atom
raw total energy	-5.36	eV/atom
M_tot	0.00	μB/f.u.

a = 5.8492 Å, b = 5.8492 Å, c = 5.8492 Å
α = 137.20°, β = 137.20°, γ = 62.14°
Last column: nearest neighbours and their distance in Å.
Positions (direct):
1 La 0.0000 0.0000 0.0000  8 Si 3.02-3.29, 4 Pb 3.29
2 Si 0.2500 0.7500 0.5000  4 Pb 3.02, 4 Si 3.29, 4 La 3.29
3 Si 0.5000 0.5000 0.0000  4 La 3.02, 4 Pb 3.29, 4 Si 3.29
4 Pb 0.7500 0.2500 0.5000  8 Si 3.02-3.29, 4 La 3.29

No. 10
## LaSiPb2 (PBEsol)

Data for a geometry-optimized LaSiPb2 structure.

space-group type	I-4m2 (119)
energy relative to the elements, uncorrected	-0.2186	eV per atom
raw total energy	-4.99	eV/atom
M_tot	0.00	μB/f.u.

a = 5.8094 Å, b = 5.8094 Å, c = 5.8094 Å
α = 132.77°, β = 132.77°, γ = 69.01°
Last column: nearest neighbours and their distance in Å.
Positions (direct):
1 La 0.0000 0.0000 0.0000  8 Pb 3.29-3.34, 4 Si 3.34
2 Si 0.2500 0.7500 0.5000  8 Pb 3.29-3.34, 4 La 3.34
3 Pb 0.5000 0.5000 0.0000  4 La 3.29, 4 Pb 3.34, 4 Si 3.34
4 Pb 0.7500 0.2500 0.5000  4 Si 3.29, 4 Pb 3.34, 4 La 3.34

No. 11
## La2SnPb2 (PBEsol)

Data for a geometry-optimized La2SnPb2 structure.

space-group type	P4/mbm (127)
raw total energy	-5.18	eV/atom
energy of formation from the pure elements	-0.59	eV per atom
M_tot	0.00	μB/f.u.

a = 8.1233 Å, b = 8.1233 Å, c = 4.6484 Å
α = 90.00°, β = 90.00°, γ = 90.00°
Last column: nearest neighbours and their distance in Å.
Positions (direct):
1 La 0.1755 0.3245 0.0000  6 Pb 3.22-3.42
2 La 0.3245 0.8245 0.0000  6 Pb 3.22-3.42
3 La 0.6755 0.1755 0.0000  6 Pb 3.22-3.42
4 La 0.8245 0.6755 0.0000  6 Pb 3.22-3.42
5 Sn 0.0000 0.0000 0.5000  4 Pb 3.18
6 Sn 0.5000 0.5000 0.5000  4 Pb 3.18
7 Pb 0.1305 0.6305 0.5000  1 Pb 3.00, 2 Sn 3.18, 2 La 3.22
8 Pb 0.3695 0.1305 0.5000  1 Pb 3.00, 2 Sn 3.18, 2 La 3.22
9 Pb 0.6305 0.8695 0.5000  1 Pb 3.00, 2 Sn 3.18, 2 La 3.22
10 Pb 0.8695 0.3695 0.5000  1 Pb 3.00, 2 Sn 3.18, 2 La 3.22

No. 12
## LaSnPb3 (PBEsol)

Data for a geometry-optimized LaSnPb3 structure.

space-group type	Pm-3m (221)
raw total energy	-3.99	eV/atom
energy of formation from the pure elements	0.33	eV per atom
M_tot	0.00	μB/f.u.

a = 5.6409 Å, b = 5.6409 Å, c = 5.6409 Å
α = 90.00°, β = 90.00°, γ = 90.00°
Last column: nearest neighbours and their distance in Å.
Positions (direct):
1 La 0.0000 0.0000 0.0000  12 Pb 3.99
2 Sn 0.5000 0.5000 0.5000  6 Pb 2.82
3 Pb 0.0000 0.5000 0.5000  2 Sn 2.82
4 Pb 0.5000 0.0000 0.5000  2 Sn 2.82
5 Pb 0.5000 0.5000 0.0000  2 Sn 2.82

No. 13
## Sr2LaPb (PBEsol)

Data for a geometry-optimized Sr2LaPb structure.

space-group type	C2/m (12)
raw total energy	-3.36	eV/atom
energy of formation from the pure elements	-0.11	eV per atom
M_tot	0.00	μB/f.u.

a = 6.4349 Å, b = 6.4349 Å, c = 3.7858 Å
α = 90.27°, β = 90.27°, γ = 112.33°
Last column: nearest neighbours and their distance in Å.
Positions (direct):
1 Sr 0.0000 0.5000 0.0000  4 Sr 3.58-3.79, 4 La 3.73-3.74, 4 Pb 3.73-3.74
2 Sr 0.5000 0.0000 0.0000  4 Sr 3.58-3.79, 4 La 3.73-3.74, 4 Pb 3.73-3.74
3 La 0.0000 0.0000 0.5000  2 Pb 3.58, 8 Sr 3.73-3.74, 2 La 3.79
4 Pb 0.5000 0.5000 0.5000  2 La 3.58, 8 Sr 3.73-3.74, 2 Pb 3.79

No. 14
## SrLaPb2 (PBEsol)

Data for a geometry-optimized SrLaPb2 structure.

space-group type	I4/mmm (139)
raw total energy	-4.34	eV/atom
energy of formation from the pure elements	-0.55	eV per atom
M_tot	0.00	μB/f.u.

a = 5.8608 Å, b = 5.8608 Å, c = 5.8608 Å
α = 126.64°, β = 126.64°, γ = 78.83°
Last column: nearest neighbours and their distance in Å.
Positions (direct):
1 Sr 0.0000 0.0000 0.0000  8 Pb 3.47, 4 La 3.72
2 La 0.5000 0.5000 0.0000  8 Pb 3.47, 4 Sr 3.72
3 Pb 0.2500 0.7500 0.5000  4 La 3.47, 4 Sr 3.47, 4 Pb 3.72
4 Pb 0.7500 0.2500 0.5000  4 La 3.47, 4 Sr 3.47, 4 Pb 3.72

No. 15
## SrLaPb (PBEsol)

Data for a geometry-optimized SrLaPb structure.

space-group type	I4mm (107)
raw total energy	-4.01	eV/atom
energy of formation from the pure elements	-0.29	eV per atom
M_tot	0.01	μB/f.u.

a = 5.9560 Å, b = 5.9560 Å, c = 5.9560 Å
α = 137.09°, β = 137.09°, γ = 62.31°
Last column: nearest neighbours and their distance in Å.
Positions (direct):
1 Sr 0.0000 0.0000 0.0000  5 La 3.26-3.59, 5 Pb 3.44-3.50
2 La 0.6803 0.6803 0.0000  5 Sr 3.26-3.59, 5 Pb 3.47-3.50
3 Pb 0.3372 0.3372 0.0000  5 Sr 3.44-3.50, 5 La 3.47-3.50